{
  "formula": "Ta2CO",
  "functional": "PBE-GGA",
  "state": "relaxed",
  "cell": [[-2.407, 2.407, 4.801], [2.407, -2.407, 4.801], [2.407, 2.407, -4.801]],
  "species": ["Ta", "Ta", "Ta", "Ta", "C", "C", "O", "O"],
  "fractional_positions": [[0.116, 0.625, 0.991], [0.375, 0.366, 0.491], [0.634, 0.125, 0.009], [0.875, 0.884, 0.509], [0.000, 0.000, 0.000], [0.750, 0.250, 0.500], [0.250, 0.750, 0.500], [0.500, 0.500, 0.000]],
  "relative_energy_mev_per_atom": 0.0,
  "vol_a3_per_atom": 13.9,
  "final_energy_ev_per_atom": -10.095,
  "magnetic_moment_mub_per_fu": 0.00
}

***

{
  "formula": "TaCO",
  "functional": "PBE-GGA",
  "state": "relaxed",
  "cell": [[3.582, -1.640, 0.000], [3.582, 1.640, 0.000], [-0.228, 0.000, 5.756]],
  "species": ["Ta", "Ta", "C", "C", "O", "O"],
  "fractional_positions": [[0.231, 0.231, 0.233], [0.769, 0.769, 0.767], [0.073, 0.073, 0.913], [0.927, 0.927, 0.087], [0.351, 0.351, 0.605], [0.649, 0.649, 0.395]],
  "vol_a3_per_atom": 11.3,
  "final_energy_ev_per_atom": -9.717,
  "magnetic_moment_mub_per_fu": 0.00
}

***

{
  "formula": "Ta3CO",
  "functional": "PBE-GGA",
  "state": "relaxed",
  "cell": [[4.242, 0.000, 0.000], [0.000, 4.242, 0.000], [0.000, 0.000, 4.242]],
  "species": ["Ta", "Ta", "Ta", "C", "O"],
  "fractional_positions": [[0.000, 0.000, 0.500], [0.000, 0.500, 0.000], [0.500, 0.000, 0.000], [0.000, 0.000, 0.000], [0.500, 0.500, 0.500]],
  "relative_energy_mev_per_atom": 0.0,
  "vol_a3_per_atom": 15.3,
  "final_energy_ev_per_atom": -9.427,
  "magnetic_moment_mub_per_fu": 0.00
}

***

{
  "formula": "Ta2CO",
  "functional": "PBE-GGA",
  "state": "relaxed",
  "cell": [[0.000, 2.790, 2.790], [2.790, 0.000, 2.790], [2.790, 2.790, 0.000]],
  "species": ["Ta", "Ta", "C", "O"],
  "fractional_positions": [[0.250, 0.250, 0.250], [0.750, 0.750, 0.750], [0.000, 0.000, 0.000], [0.500, 0.500, 0.500]],
  "relative_energy_mev_per_atom": 137.6,
  "vol_a3_per_atom": 10.9,
  "final_energy_ev_per_atom": -9.957,
  "magnetic_moment_mub_per_fu": 0.00
}

***

{
  "formula": "TaTeC2O",
  "functional": "PBE-GGA",
  "state": "relaxed",
  "cell": [[4.033, 0.000, 0.000], [0.000, 4.033, 0.000], [0.000, 0.000, 4.029]],
  "species": ["Ta", "Te", "C", "C", "O"],
  "fractional_positions": [[0.000, 0.000, 0.000], [0.500, 0.500, 0.000], [0.000, 0.500, 0.500], [0.500, 0.000, 0.500], [0.500, 0.500, 0.500]],
  "vol_a3_per_atom": 13.1,
  "final_energy_ev_per_atom": -5.683,
  "magnetic_moment_mub_per_fu": 0.00
}

***

{
  "formula": "Ta2TlCO",
  "functional": "PBE-GGA",
  "state": "relaxed",
  "cell": [[5.209, 0.000, 0.000], [0.000, 5.209, 0.000], [0.000, 0.000, 4.016]],
  "species": ["Ta", "Ta", "Tl", "C", "O"],
  "fractional_positions": [[0.000, 0.500, 0.000], [0.500, 0.000, 0.000], [0.000, 0.000, 0.000], [0.500, 0.500, 0.500], [0.000, 0.000, 0.500]],
  "vol_a3_per_atom": 21.8,
  "final_energy_ev_per_atom": -4.992,
  "magnetic_moment_mub_per_fu": 1.19
}

***

{
  "formula": "ZrTaC2O",
  "functional": "PBE-GGA",
  "state": "relaxed",
  "cell": [[4.213, 0.000, 0.000], [0.000, 4.213, 0.000], [0.000, 0.000, 3.703]],
  "species": ["Zr", "Ta", "C", "C", "O"],
  "fractional_positions": [[0.000, 0.000, 0.000], [0.500, 0.500, 0.000], [0.000, 0.500, 0.500], [0.500, 0.000, 0.500], [0.500, 0.500, 0.500]],
  "vol_a3_per_atom": 13.1,
  "final_energy_ev_per_atom": -7.697,
  "magnetic_moment_mub_per_fu": 0.00
}

***

{
  "formula": "TbCO",
  "functional": "PBE-GGA",
  "state": "relaxed",
  "cell": [[6.369, 0.000, 0.000], [0.000, 2.892, 0.000], [0.000, 0.000, 7.565]],
  "species": ["Tb", "Tb", "Tb", "Tb", "C", "C", "C", "C", "O", "O", "O", "O"],
  "fractional_positions": [[0.186, 0.250, 0.167], [0.314, 0.750, 0.667], [0.686, 0.250, 0.333], [0.814, 0.750, 0.833], [0.039, 0.250, 0.502], [0.461, 0.750, 0.002], [0.539, 0.250, 0.998], [0.961, 0.750, 0.498], [0.095, 0.250, 0.848], [0.405, 0.750, 0.348], [0.595, 0.250, 0.652], [0.905, 0.750, 0.152]],
  "vol_a3_per_atom": 11.6,
  "final_energy_ev_per_atom": -7.721,
  "magnetic_moment_mub_per_fu": 0.00
}